Record 1
{
  "formula": "Be3TcN",
  "functional": "PBE",
  "state": "optimized geometry",
  "energy_ev_per_atom": -3.858,
  "dos_ef_per_ev_atom": 0.358,
  "formation_energy_uncorrected_ev_per_atom": 2.116,
  "sg": "No. 221",
  "cell": [[4.1936, 0.0000, 0.0000], [0.0000, 4.1936, 0.0000], [0.0000, 0.0000, 4.1936]],
  "species": ["Be", "Be", "Be", "Tc", "N"],
  "frac_coords": [[0.0000, 0.5000, 0.0000], [0.0000, 0.0000, 0.5000], [0.5000, 0.0000, 0.0000], [0.0000, 0.0000, 0.0000], [0.5000, 0.5000, 0.5000]]
}

---

Record 2
{
  "formula": "BeTcN",
  "functional": "PBE",
  "state": "optimized geometry",
  "energy_ev_per_atom": -7.528,
  "dos_ef_per_ev_atom": 0.570,
  "formation_energy_uncorrected_ev_per_atom": -0.056,
  "sg": "No. 6",
  "cell": [[-1.3916, 2.1649, -0.9862], [-1.8965, -0.2116, 2.2118], [2.5498, 1.4481, 2.3249]],
  "species": ["Be", "Tc", "N"],
  "frac_coords": [[0.4375, 0.0000, 0.4547], [0.0205, 0.5000, 0.8917], [0.6629, 0.5000, 0.3155]]
}

---

Record 3
{
  "formula": "BeTcN",
  "functional": "PBE",
  "state": "optimized geometry",
  "energy_ev_per_atom": -7.595,
  "dos_ef_per_ev_atom": 0.722,
  "formation_energy_uncorrected_ev_per_atom": -0.123,
  "sg": "No. 160",
  "cell": [[2.7300, 0.0000, 0.0000], [-1.3650, 2.3642, 0.0000], [0.0000, 0.0000, 13.6028]],
  "species": ["Be", "Be", "Be", "Tc", "Tc", "Tc", "N", "N", "N"],
  "frac_coords": [[0.0000, 0.0000, 0.5223], [0.3333, 0.6667, 0.1890], [0.6667, 0.3333, 0.8557], [0.0000, 0.0000, 0.3467], [0.3333, 0.6667, 0.0134], [0.6667, 0.3333, 0.6801], [0.0000, 0.0000, 0.7818], [0.3333, 0.6667, 0.4485], [0.6667, 0.3333, 0.1151]]
}

---

Record 4
{
  "formula": "BeTcN",
  "functional": "PBE",
  "state": "optimized geometry",
  "energy_ev_per_atom": -7.508,
  "dos_ef_per_ev_atom": 0.473,
  "formation_energy_uncorrected_ev_per_atom": -0.035,
  "sg": "No. 38",
  "cell": [[2.8260, 0.0000, -0.0113], [0.0000, 3.1348, 0.0000], [-1.3992, 0.0000, 3.6095]],
  "species": ["Be", "Tc", "N"],
  "frac_coords": [[0.3485, 0.0000, 0.1108], [0.0131, 0.5000, 0.4416], [0.2970, 0.5000, 0.0097]]
}

---

Record 5
{
  "formula": "Be2TcN",
  "functional": "PBE",
  "state": "optimized geometry",
  "energy_ev_per_atom": -6.396,
  "dos_ef_per_ev_atom": 0.135,
  "formation_energy_uncorrected_ev_per_atom": 0.140,
  "sg": "No. 122",
  "cell": [[4.9587, 0.0000, 0.0000], [0.0000, 4.9587, 0.0000], [2.4794, 2.4794, 3.3088]],
  "species": ["Be", "Be", "Be", "Be", "Tc", "Tc", "N", "N"],
  "frac_coords": [[0.4891, 0.1250, 0.2500], [0.2609, 0.6250, 0.2500], [0.3750, 0.5109, 0.7500], [0.8750, 0.7391, 0.7500], [0.0000, 0.0000, 0.0000], [0.7500, 0.2500, 0.5000], [0.5000, 0.5000, 0.0000], [0.2500, 0.7500, 0.5000]]
}

---

Record 6
{
  "formula": "BeTcTeN2",
  "functional": "PBE",
  "state": "optimized geometry",
  "energy_ev_per_atom": -5.207,
  "dos_ef_per_ev_atom": 0.877,
  "formation_energy_uncorrected_ev_per_atom": 1.570,
  "sg": "No. 123",
  "cell": [[3.6530, 0.0000, 0.0000], [0.0000, 3.6530, 0.0000], [0.0000, 0.0000, 5.1267]],
  "species": ["Be", "Te", "Tc", "N", "N"],
  "frac_coords": [[0.0000, 0.0000, 0.0000], [0.0000, 0.0000, 0.5000], [0.5000, 0.5000, 0.5000], [0.0000, 0.5000, 0.0000], [0.5000, 0.0000, 0.0000]]
}

---

Record 7
{
  "formula": "BeTcTeN2",
  "functional": "PBE",
  "state": "optimized geometry",
  "energy_ev_per_atom": -6.067,
  "dos_ef_per_ev_atom": 0.886,
  "formation_energy_uncorrected_ev_per_atom": 0.710,
  "sg": "No. 123",
  "cell": [[3.7961, 0.0000, 0.0000], [0.0000, 3.7961, 0.0000], [0.0000, 0.0000, 5.8425]],
  "species": ["Be", "Te", "Tc", "N", "N"],
  "frac_coords": [[0.5000, 0.5000, 0.5000], [0.0000, 0.0000, 0.5000], [0.0000, 0.0000, 0.0000], [0.0000, 0.5000, 0.0000], [0.5000, 0.0000, 0.0000]]
}

---

Record 8
{
  "formula": "ZrBeTc2N",
  "functional": "PBE",
  "state": "optimized geometry",
  "energy_ev_per_atom": -6.277,
  "dos_ef_per_ev_atom": 1.418,
  "formation_energy_uncorrected_ev_per_atom": 1.990,
  "sg": "No. 123",
  "cell": [[-3.7310, -3.2445, -0.0706], [2.0679, -2.4327, 2.5217], [-2.0531, 2.2766, 3.8800]],
  "species": ["Be", "Tc", "Tc", "Zr", "N"],
  "frac_coords": [[0.5000, 0.5000, 0.5000], [0.0000, 0.0000, 0.5000], [0.5000, 0.0000, 0.0000], [0.0000, 0.0000, 0.0000], [0.0000, 0.5000, 0.0000]]
}